DFT (PBEsol) results for crystalline MnNi2PAu at its relaxed geometry.

Cell lengths 4.2626, 4.2626, 4.1113 Å; angles 90.00, 90.00, 90.00 degrees
Last column: nearest neighbours and their distance in Å.
Sites, in units of the cell vectors:
Mn 0.0000 0.0000 0.0000  2 P 2.06, 4 Ni 2.13
Ni 0.0000 0.5000 0.0000  2 Mn 2.13
Ni 0.5000 0.0000 0.0000  2 Mn 2.13
P 0.0000 0.0000 0.5000  2 Mn 2.06
Au 0.5000 0.5000 0.5000  8 Ni 2.96, 4 P 3.01

Calculated values
- total energy (eV/atom) = -5.524
- SG = P4/mmm (123)
- ΔE_f (eV per atom) = 0.83
- total magnetic moment (μB/f.u.) = 0.796

---

DFT (PBEsol) results for crystalline Mn3AuO at its relaxed geometry.

Cell lengths 4.8202, 4.8202, 4.8202 Å; angles 90.00, 90.00, 90.00 degrees
Last column: nearest neighbours and their distance in Å.
Sites, in units of the cell vectors:
Mn 0.0000 0.0000 0.5000  2 Au 2.41
Mn 0.0000 0.5000 0.0000  2 Au 2.41
Mn 0.5000 0.0000 0.0000  2 Au 2.41
Au 0.0000 0.0000 0.0000  6 Mn 2.41
O 0.5000 0.5000 0.5000  12 Mn 3.41

Calculated values
- total energy (eV/atom) = -6.237
- raw formation energy (eV/atom) = 1.454
- SG = Pm-3m (221)
- total magnetic moment (μB/f.u.) = 13.012

---

DFT (PBEsol) results for crystalline MnSiAu2O at its relaxed geometry.

Cell lengths 4.6728, 4.6728, 3.6551 Å; angles 90.00, 90.00, 90.00 degrees
Last column: nearest neighbours and their distance in Å.
Sites, in units of the cell vectors:
Mn 0.0000 0.0000 0.0000  2 O 1.83
Si 0.5000 0.5000 0.0000  8 Au 2.97, 4 Mn 3.30
Au 0.0000 0.5000 0.5000  2 O 2.34
Au 0.5000 0.0000 0.5000  2 O 2.34
O 0.0000 0.0000 0.5000  2 Mn 1.83

Calculated values
- total energy (eV/atom) = -5.466
- raw formation energy (eV/atom) = 0.255
- SG = P4/mmm (123)
- total magnetic moment (μB/f.u.) = 3.998

---

DFT (PBEsol) results for crystalline MnOs2AuSe at its relaxed geometry.

Cell lengths 4.4834, 4.4834, 4.7838 Å; angles 90.00, 90.00, 90.00 degrees
Last column: nearest neighbours and their distance in Å.
Sites, in units of the cell vectors:
Mn 0.0000 0.0000 0.0000  4 Au 3.17, 8 Os 3.28
Os 0.0000 0.5000 0.5000  2 Se 2.24
Os 0.5000 0.0000 0.5000  2 Se 2.24
Au 0.5000 0.5000 0.0000  2 Se 2.39
Se 0.5000 0.5000 0.5000  4 Os 2.24, 2 Au 2.39

Calculated values
- total energy (eV/atom) = -6.750
- raw formation energy (eV/atom) = 1.644
- SG = P4/mmm (123)
- total magnetic moment (μB/f.u.) = 4.574

---

DFT (PBEsol) results for crystalline MnP2Au at its relaxed geometry.

Cell lengths 2.8017, 7.6392, 7.6392 Å; angles 20.65, 90.00, 90.00 degrees
Last column: nearest neighbours and their distance in Å.
Sites, in units of the cell vectors:
Mn 0.0000 0.0000 0.0000  6 P 2.22-2.29
P 0.0000 0.3833 0.3833  2 Mn 2.22
P 0.5000 0.5791 0.5791  4 Mn 2.29, 1 Au 2.40
Au 0.5000 0.7388 0.7388  1 P 2.40

Calculated values
- total energy (eV/atom) = -6.347
- relative energy among the computed polymorphs (meV/atom) = 0.0
- SG = Amm2 (38)
- ΔE_f (eV per atom) = -0.03
- total magnetic moment (μB/f.u.) = 0.000

---

DFT (PBEsol) results for crystalline MnPAu2 at its relaxed geometry.

Cell lengths 3.7945, 3.7945, 4.3990 Å; angles 90.00, 90.00, 90.00 degrees
Last column: nearest neighbours and their distance in Å.
Sites, in units of the cell vectors:
Mn 0.0000 0.0000 0.0000  4 P 2.68, 8 Au 2.90
P 0.5000 0.5000 0.0000  4 Mn 2.68, 8 Au 2.90
Au 0.0000 0.5000 0.5000  4 Au 2.68, 4 P 2.90, 4 Mn 2.90
Au 0.5000 0.0000 0.5000  4 Au 2.68, 4 P 2.90, 4 Mn 2.90

Calculated values
- total energy (eV/atom) = -5.668
- SG = P4/mmm (123)
- ΔE_f (eV per atom) = 0.18
- total magnetic moment (μB/f.u.) = 4.000

---

DFT (PBEsol) results for crystalline MnP2Au at its relaxed geometry.

Cell lengths 4.5445, 4.5445, 2.8398 Å; angles 90.00, 90.00, 90.00 degrees
Last column: nearest neighbours and their distance in Å.
Sites, in units of the cell vectors:
Mn 0.0000 0.0000 0.0000  8 P 2.68, 2 Mn 2.84
P 0.0000 0.5000 0.5000  4 Mn 2.68, 4 Au 2.68, 2 P 2.84
P 0.5000 0.0000 0.5000  4 Mn 2.68, 4 Au 2.68, 2 P 2.84
Au 0.5000 0.5000 0.0000  8 P 2.68, 2 Au 2.84

Calculated values
- total energy (eV/atom) = -6.059
- relative energy among the computed polymorphs (meV/atom) = 287.6
- SG = P4/mmm (123)
- ΔE_f (eV per atom) = 0.26
- total magnetic moment (μB/f.u.) = 3.365

---

DFT (PBEsol) results for crystalline MnP2Au at its relaxed geometry.

Cell lengths 3.6871, 4.0212, 4.1826 Å; angles 90.00, 90.33, 90.00 degrees
Last column: nearest neighbours and their distance in Å.
Sites, in units of the cell vectors:
Mn 0.0000 0.0000 0.0000  4 P 2.35
P 0.2699 0.5000 0.1678  2 P 2.21-2.43, 2 Mn 2.35
P 0.7301 0.5000 0.8322  2 P 2.21-2.43, 2 Mn 2.35
Au 0.5000 0.0000 0.5000  4 P 2.58, 4 Mn 2.78-2.80

Calculated values
- total energy (eV/atom) = -6.185
- relative energy among the computed polymorphs (meV/atom) = 161.8
- SG = P2/m (10)
- ΔE_f (eV per atom) = 0.13
- total magnetic moment (μB/f.u.) = 2.891

---

DFT (PBEsol) results for crystalline MnP2Au at its relaxed geometry.

Cell lengths 2.7685, 2.7685, 7.3750 Å; angles 90.00, 90.00, 90.00 degrees
Last column: nearest neighbours and their distance in Å.
Sites, in units of the cell vectors:
Mn 0.0000 0.0000 0.0000  4 P 2.28
P 0.0000 0.0000 0.4533  8 P 2.77-2.92, 4 Au 2.83
P 0.5000 0.5000 0.1592  4 Mn 2.28
Au 0.5000 0.5000 0.7302  4 Au 2.77, 4 Mn 2.79, 4 P 2.83

Calculated values
- total energy (eV/atom) = -6.113
- relative energy among the computed polymorphs (meV/atom) = 233.4
- SG = P4mm (99)
- ΔE_f (eV per atom) = 0.20
- total magnetic moment (μB/f.u.) = 1.627

---

DFT (PBEsol) results for crystalline MnPAu2 at its relaxed geometry.

Cell lengths 3.2228, 6.4935, 6.4935 Å; angles 26.27, 90.00, 90.00 degrees
Last column: nearest neighbours and their distance in Å.
Sites, in units of the cell vectors:
Mn 0.0000 0.0000 0.0000  4 P 2.32
P 0.5000 0.4388 0.4388  4 Mn 2.32, 3 Au 2.49-2.59
Au 0.0000 0.2883 0.2883  2 P 2.49
Au 0.5000 0.6439 0.6439  1 P 2.59, 4 Mn 2.84, 4 Au 2.85

Calculated values
- total energy (eV/atom) = -5.887
- SG = Amm2 (38)
- ΔE_f (eV per atom) = -0.04
- total magnetic moment (μB/f.u.) = 2.538

---

DFT (PBEsol) results for crystalline MnPAu2 at its relaxed geometry.

Cell lengths 8.1751, 8.1751, 8.1751 Å; angles 21.59, 21.59, 21.59 degrees
Last column: nearest neighbours and their distance in Å.
Sites, in units of the cell vectors:
Mn 0.0000 0.0000 0.0000  6 Au 2.67
P 0.5000 0.5000 0.5000  6 Au 2.66
Au 0.2498 0.2498 0.2498  3 P 2.66, 3 Mn 2.67
Au 0.7502 0.7502 0.7502  3 P 2.66, 3 Mn 2.67

Calculated values
- total energy (eV/atom) = -5.567
- SG = R-3m (166)
- ΔE_f (eV per atom) = 0.28
- total magnetic moment (μB/f.u.) = 3.866

---

DFT (PBEsol) results for crystalline Mn2PAu at its relaxed geometry.

Cell lengths 4.1499, 4.1499, 2.8358 Å; angles 90.00, 90.00, 90.00 degrees
Last column: nearest neighbours and their distance in Å.
Sites, in units of the cell vectors:
Mn 0.0000 0.5000 0.0000  4 P 2.51, 4 Au 2.51
Mn 0.5000 0.0000 0.0000  4 P 2.51, 4 Au 2.51
P 0.0000 0.0000 0.5000  8 Mn 2.51
Au 0.5000 0.5000 0.5000  8 Mn 2.51

Calculated values
- total energy (eV/atom) = -7.085
- SG = P4/mmm (123)
- ΔE_f (eV per atom) = 0.22
- total magnetic moment (μB/f.u.) = 0.003

---

DFT (PBEsol) results for crystalline Mn2PAu at its relaxed geometry.

Cell lengths 2.8781, 2.8781, 6.5189 Å; angles 90.00, 90.00, 90.00 degrees
Last column: nearest neighbours and their distance in Å.
Sites, in units of the cell vectors:
Mn 0.0000 0.0000 0.0000  1 P 2.62, 8 Mn 2.63-2.88, 4 Au 2.74
Mn 0.5000 0.5000 0.2561  4 P 2.25
P 0.0000 0.0000 0.4026  4 Mn 2.25
Au 0.5000 0.5000 0.7190  5 Mn 2.74-3.02, 4 Au 2.88, 4 P 2.90

Calculated values
- total energy (eV/atom) = -7.279
- SG = P4mm (99)
- ΔE_f (eV per atom) = 0.03
- total magnetic moment (μB/f.u.) = 3.739

---

DFT (PBEsol) results for crystalline MnPb2Au at its relaxed geometry.

Cell lengths 4.7512, 3.4908, 5.8241 Å; angles 90.00, 113.26, 90.00 degrees
Last column: nearest neighbours and their distance in Å.
Sites, in units of the cell vectors:
Mn 0.0000 0.0000 0.0000  6 Pb 2.94-2.95
Pb 0.5000 0.0000 0.5000  2 Mn 2.94, 4 Au 2.95
Pb 0.5000 0.5000 0.0000  2 Au 2.94, 4 Mn 2.95
Au 0.0000 0.5000 0.5000  6 Pb 2.94-2.95

Calculated values
- total energy (eV/atom) = -5.086
- relative energy among the computed polymorphs (meV/atom) = 79.4
- SG = P2/m (10)
- ΔE_f (eV per atom) = 0.34
- total magnetic moment (μB/f.u.) = 3.923

---

DFT (PBEsol) results for crystalline MnPb2Au at its relaxed geometry.

Cell lengths 3.5299, 3.6711, 6.6983 Å; angles 90.00, 90.00, 90.00 degrees
Last column: nearest neighbours and their distance in Å.
Sites, in units of the cell vectors:
Mn 0.0000 0.0000 0.0000  8 Pb 3.04, 2 Au 3.35
Pb 0.5000 0.5000 0.2471  4 Mn 3.04, 4 Au 3.06, 2 Pb 3.31-3.39
Pb 0.5000 0.5000 0.7529  4 Mn 3.04, 4 Au 3.06, 2 Pb 3.31-3.39
Au 0.0000 0.0000 0.5000  8 Pb 3.06, 2 Mn 3.35

Calculated values
- total energy (eV/atom) = -5.057
- relative energy among the computed polymorphs (meV/atom) = 107.8
- SG = Pmmm (47)
- ΔE_f (eV per atom) = 0.36
- total magnetic moment (μB/f.u.) = 3.755